No. 1
Entry from Alexandria via LeMat-Bulk: an optimized crystal structure of Nb6Al2Ga (PBE).

Unit cell a=13.779 b=6.201 c=4.397 alpha=90.00 beta=108.42 gamma=90.00
Space group C2/m (No. 12)
Asymmetric unit:
Nb: 0.000 0.247 0.000 (multiplicity 4)
Nb: 0.167 0.251 0.667 (multiplicity 8)
Al: 0.166 0.500 0.166 (multiplicity 4)
Ga: 0.000 0.000 0.500 (multiplicity 2)

Results
Total magnetization ... 0.00 μB per atom
Calculated density ... 6.3 g/cm3
Calculated formation energy ... 0.38 eV per atom
Crystal system ... monoclinic



No. 2
Entry from Alexandria via LeMat-Bulk: an optimized crystal structure of Nb2AlGa4 (PBE).

Unit cell a=3.732 b=3.732 c=8.975 alpha=90.00 beta=90.00 gamma=90.00
Space group P-4m2 (No. 115)
Asymmetric unit:
Nb: 0.000 0.500 0.241 (multiplicity 2)
Al: 0.000 0.000 0.500 (multiplicity 1)
Ga: 0.000 0.000 0.000 (multiplicity 1)
Ga: 0.000 0.500 0.711 (multiplicity 2)
Ga: 0.500 0.500 0.000 (multiplicity 1)

Results
Total magnetization ... 0.00 μB per atom
Calculated density ... 6.5 g/cm3
Calculated formation energy ... -0.10 eV per atom
Crystal system ... tetragonal



No. 3
Entry from Alexandria via LeMat-Bulk: an optimized crystal structure of NbAl8Ga6 (PBE).

Unit cell a=5.0508 b=5.0508 c=34.6311 alpha=90.00 beta=90.00 gamma=120.00
Space group R-3 (No. 148, hexagonal axes)
Asymmetric unit:
Nb: 0.0000 0.0000 0.0000 (multiplicity 3)
Al: 0.0000 0.0000 0.3328 (multiplicity 6)
Al: 0.0009 0.3373 0.1334 (multiplicity 18)
Ga: 0.0007 0.6646 0.7324 (multiplicity 18)

Results
Total magnetization ... 0.00 μB per atom
Calculated density ... 4.7 g/cm3
Calculated formation energy ... 0.00 eV per atom
Crystal system ... trigonal



Among the records above, which one has the lowest calculated density? NbAl8Ga6



What did the second record say?
Entry from Alexandria via LeMat-Bulk: an optimized crystal structure of Nb2AlGa4 (PBE).

Unit cell a=3.732 b=3.732 c=8.975 alpha=90.00 beta=90.00 gamma=90.00
Space group P-4m2 (No. 115)
Asymmetric unit:
Nb: 0.000 0.500 0.241 (multiplicity 2)
Al: 0.000 0.000 0.500 (multiplicity 1)
Ga: 0.000 0.000 0.000 (multiplicity 1)
Ga: 0.000 0.500 0.711 (multiplicity 2)
Ga: 0.500 0.500 0.000 (multiplicity 1)

Results
Total magnetization ... 0.00 μB per atom
Calculated density ... 6.5 g/cm3
Calculated formation energy ... -0.10 eV per atom
Crystal system ... tetragonal



Number 2 is which compound? Nb2AlGa4



What is the calculated formation energy in the third record? 0.00 eV per atom